1.
DFT (PBE-GGA) results for crystalline LaRuW3 at its relaxed geometry.

CIF file:
```
data_LaRuW3
_chemical_formula_sum 'La1 Ru1 W3'
_symmetry_space_group_name_H-M 'P m -3 m'
_symmetry_Int_Tables_number 221
_symmetry_space_group_name_Hall '-P 4 2 3'
_cell_length_a 4.825
_cell_length_b 4.825
_cell_length_c 4.825
_cell_angle_alpha 90.00
_cell_angle_beta 90.00
_cell_angle_gamma 90.00
loop_
_atom_site_label
_atom_site_type_symbol
_atom_site_fract_x
_atom_site_fract_y
_atom_site_fract_z
_atom_site_occupancy
La1 La 0.000 0.000 0.000 1
Ru1 Ru 0.500 0.500 0.500 1
W1 W 0.000 0.500 0.500 1
```

## Properties
Total magnetic moment = 0.419 μB per atom
Polymorph energy (0 for the lowest one) = 0.000 eV/atom


2.
DFT (PBE-GGA) results for crystalline LaRuW at its relaxed geometry.

CIF file:
```
data_LaRuW
_chemical_formula_sum 'La4 Ru4 W4'
_symmetry_space_group_name_H-M 'F -4 3 m'
_symmetry_Int_Tables_number 216
_symmetry_space_group_name_Hall 'F -4 2 3'
_cell_length_a 6.333
_cell_length_b 6.333
_cell_length_c 6.333
_cell_angle_alpha 90.00
_cell_angle_beta 90.00
_cell_angle_gamma 90.00
loop_
_atom_site_label
_atom_site_type_symbol
_atom_site_fract_x
_atom_site_fract_y
_atom_site_fract_z
_atom_site_occupancy
La1 La 0.000 0.000 0.000 1
Ru1 Ru 0.250 0.250 0.250 1
W1 W 0.250 0.250 0.750 1
```

## Properties
Total magnetic moment = 0.000 μB per atom
Polymorph energy (0 for the lowest one) = 1.462 eV/atom


Short version: energy relative to the elements = 1.36 1.65 eV per atom, in the order given.
Short version: Fermi-level density of states = 4.4 3.6 states/eV/f.u., in the order given.